No. 1
The following is a PBE-GGA calculation of a relaxed structure of Na2GaTeSe, from Alexandria via LeMat-Bulk.

Cell and atoms, written as POSCAR:
```
Na2GaTeSe
1.0
5.660 0.000 0.000
0.000 5.758 0.000
0.000 0.000 5.660
Na Te Se Ga
2 1 1 1
direct
0.500 0.000 0.000
0.000 0.000 0.500
0.000 0.000 0.000
0.000 0.500 0.000
0.500 0.500 0.500
```

Computed properties:
**Total moment**: 0.000 μB/f.u.
**Formation energy without anion corrections**: -0.05 eV/atom
**Calculated total energy**: -12.55 eV per cell
**Symmetry**: P4/mmm



No. 2
The following is a PBE-GGA calculation of a relaxed structure of Na2TiGaSe5, from Alexandria via LeMat-Bulk.

Cell and atoms, written as POSCAR:
```
Na2TiGaSe5
1.0
3.604 0.000 0.000
-1.802 9.070 0.000
0.000 0.000 13.791
Na Se Ti Ga
4 10 2 2
direct
0.871 0.743 0.815
0.896 0.793 0.159
0.129 0.257 0.315
0.104 0.207 0.659
0.495 0.989 0.278
0.064 0.129 0.044
0.295 0.590 0.399
0.936 0.871 0.544
0.505 0.011 0.778
0.705 0.410 0.899
0.281 0.562 0.666
0.647 0.293 0.497
0.353 0.707 0.997
0.719 0.438 0.166
0.222 0.445 0.039
0.778 0.555 0.539
0.428 0.856 0.427
0.572 0.144 0.927
```

Computed properties:
**Total moment**: 0.135 μB/f.u.
**Formation energy without anion corrections**: -0.87 eV/atom
**Calculated total energy**: -77.58 eV per cell
**Symmetry**: Cmc2_1



No. 3
The following is a PBE-GGA calculation of a relaxed structure of Na4Tm3GaSe8, from Alexandria via LeMat-Bulk.

Cell and atoms, written as POSCAR:
```
Na4Tm3GaSe8
1.0
-1.850 1.026 7.802
6.560 -4.810 2.188
1.301 6.433 -4.725
Na Se Tm Ga
4 8 3 1
direct
0.500 0.000 0.000
0.000 0.000 0.000
0.500 0.000 0.500
0.000 0.000 0.500
0.743 0.728 0.485
0.234 0.721 0.468
0.754 0.721 0.988
0.767 0.279 0.012
0.766 0.279 0.532
0.246 0.279 0.012
0.257 0.272 0.515
0.233 0.721 0.988
0.500 0.500 0.000
0.000 0.500 0.500
0.500 0.500 0.500
0.000 0.500 0.000
```

Computed properties:
**Total moment**: 0.000 μB/f.u.
**Formation energy without anion corrections**: -1.43 eV/atom
**Calculated total energy**: -72.45 eV per cell
**Symmetry**: R-3m



No. 4
The following is a PBE-GGA calculation of a relaxed structure of Na4U3GaSe8, from Alexandria via LeMat-Bulk.

Cell and atoms, written as POSCAR:
```
Na4U3GaSe8
1.0
-7.375 -1.968 -3.668
-1.076 -6.266 5.524
1.397 7.893 2.732
Se Na U Ga
8 4 3 1
direct
0.247 0.725 0.978
0.744 0.734 0.489
0.247 0.724 0.495
0.256 0.266 0.511
0.269 0.275 0.022
0.731 0.725 0.978
0.753 0.275 0.022
0.753 0.276 0.505
0.500 0.000 0.000
0.500 0.000 0.500
0.000 0.000 0.500
0.000 0.000 0.000
0.500 0.500 0.000
0.500 0.500 0.500
0.000 0.500 0.500
0.000 0.500 0.000
```

Computed properties:
**Total moment**: 6.998 μB/f.u.
**Formation energy without anion corrections**: -1.11 eV/atom
**Calculated total energy**: -87.75 eV per cell
**Symmetry**: R-3m



No. 5
The following is a PBE-GGA calculation of a relaxed structure of Na2UGaSe5, from Alexandria via LeMat-Bulk.

Cell and atoms, written as POSCAR:
```
Na2UGaSe5
1.0
4.096 0.000 0.000
-2.048 9.024 0.000
0.000 0.000 13.800
Se U Ga Na
10 2 2 4
direct
0.713 0.427 0.889
0.633 0.267 0.509
0.282 0.563 0.663
0.367 0.733 0.009
0.718 0.437 0.163
0.491 0.982 0.275
0.509 0.018 0.775
0.287 0.573 0.389
0.937 0.873 0.527
0.063 0.127 0.027
0.223 0.445 0.031
0.777 0.555 0.531
0.577 0.153 0.918
0.423 0.847 0.418
0.905 0.809 0.849
0.095 0.189 0.663
0.905 0.811 0.163
0.095 0.191 0.349
```

Computed properties:
**Total moment**: 0.995 μB/f.u.
**Formation energy without anion corrections**: -0.96 eV/atom
**Calculated total energy**: -85.96 eV per cell
**Symmetry**: Cmc2_1



No. 6
The following is a PBE-GGA calculation of a relaxed structure of Na3Y3GaSe8, from Alexandria via LeMat-Bulk.

Cell and atoms, written as POSCAR:
```
Na3Y3GaSe8
1.0
-3.553 3.438 -6.428
-4.109 -5.327 4.538
1.599 7.723 3.248
Se Na Y Ga
8 3 3 1
direct
0.771 0.542 0.282
0.229 0.458 0.718
0.256 0.513 0.269
0.230 0.989 0.718
0.770 0.011 0.282
0.744 0.487 0.731
0.241 0.011 0.282
0.759 0.989 0.718
0.000 0.500 0.000
0.000 0.000 0.000
0.500 0.500 0.000
0.000 0.500 0.500
0.500 0.500 0.500
0.500 0.000 0.500
0.000 0.000 0.500
```

Computed properties:
**Total moment**: 0.000 μB/f.u.
**Formation energy without anion corrections**: -1.35 eV/atom
**Calculated total energy**: -74.56 eV per cell
**Symmetry**: C2/m



No. 7
The following is a PBE-GGA calculation of a relaxed structure of Na2ZrGaSe5, from Alexandria via LeMat-Bulk.

Cell and atoms, written as POSCAR:
```
Na2ZrGaSe5
1.0
-2.686 -2.323 -1.022
5.566 -5.750 5.118
-7.138 3.238 11.402
Zr Se Na Ga
2 10 4 2
direct
0.781 0.562 0.539
0.219 0.438 0.039
0.495 0.991 0.277
0.505 0.009 0.777
0.060 0.120 0.039
0.287 0.574 0.675
0.700 0.400 0.892
0.355 0.711 0.999
0.713 0.426 0.175
0.940 0.880 0.539
0.645 0.289 0.499
0.300 0.600 0.392
0.876 0.752 0.822
0.902 0.805 0.156
0.098 0.195 0.656
0.124 0.248 0.322
0.570 0.139 0.924
0.430 0.861 0.424
```

Computed properties:
**Total moment**: 0.121 μB/f.u.
**Formation energy without anion corrections**: -0.95 eV/atom
**Calculated total energy**: -80.32 eV per cell
**Symmetry**: Cmc2_1



No. 8
The following is a PBE-GGA calculation of a relaxed structure of NaGaSi, from Alexandria via LeMat-Bulk.

Cell and atoms, written as POSCAR:
```
NaGaSi
1.0
-3.246 1.892 2.205
-0.146 -4.269 -0.854
3.310 -1.313 6.000
Ga Si Na
2 2 2
direct
0.333 0.667 0.202
0.333 0.667 0.798
0.000 0.000 0.688
0.000 0.000 0.312
0.667 0.333 0.500
0.667 0.333 0.000
```

Computed properties:
**Total moment**: 0.000 μB/f.u.
**Formation energy without anion corrections**: -0.02 eV/atom
**Calculated total energy**: -19.67 eV per cell
**Symmetry**: P-6m2



No. 9
The following is a PBE-GGA calculation of a relaxed structure of NaGaSi, from Alexandria via LeMat-Bulk.

Cell and atoms, written as POSCAR:
```
NaGaSi
1.0
-0.658 2.834 5.266
-2.613 -2.364 0.946
4.379 -3.923 2.294
Si Ga Na
2 2 2
direct
0.867 0.250 0.980
0.133 0.750 0.020
0.924 0.750 0.657
0.076 0.250 0.343
0.415 0.250 0.752
0.585 0.750 0.248
```

Computed properties:
**Total moment**: 0.000 μB/f.u.
**Formation energy without anion corrections**: 0.04 eV/atom
**Calculated total energy**: -19.28 eV per cell
**Symmetry**: P2_1/m



No. 10
The following is a PBE-GGA calculation of a relaxed structure of NaGaSi, from Alexandria via LeMat-Bulk.

Cell and atoms, written as POSCAR:
```
NaGaSi
1.0
3.581 -2.067 0.000
0.000 4.134 0.000
0.000 0.000 9.365
Na Si Ga
2 2 2
direct
0.000 0.000 0.500
0.000 0.000 0.000
0.667 0.333 0.250
0.333 0.667 0.750
0.333 0.667 0.250
0.667 0.333 0.750
```

Computed properties:
**Total moment**: 0.000 μB/f.u.
**Formation energy without anion corrections**: -0.07 eV/atom
**Calculated total energy**: -19.96 eV per cell
**Symmetry**: P6_3/mmc



No. 11
The following is a PBE-GGA calculation of a relaxed structure of Na4Ga5Si2, from Alexandria via LeMat-Bulk.

Cell and atoms, written as POSCAR:
```
Na4Ga5Si2
1.0
-1.083 2.800 -1.008
-6.622 -1.491 2.974
3.356 4.149 7.924
Ga Si Na
5 2 4
direct
0.000 0.205 0.183
0.000 0.583 0.274
0.000 0.795 0.817
0.000 0.417 0.726
0.000 0.500 0.000
0.000 0.044 0.625
0.000 0.956 0.375
0.500 0.299 0.454
0.500 0.701 0.546
0.500 0.151 0.894
0.500 0.849 0.106
```

Computed properties:
**Total moment**: 0.000 μB/f.u.
**Formation energy without anion corrections**: 0.07 eV/atom
**Calculated total energy**: -30.52 eV per cell
**Symmetry**: P2/m



No. 12
The following is a PBE-GGA calculation of a relaxed structure of NaGaSi, from Alexandria via LeMat-Bulk.

Cell and atoms, written as POSCAR:
```
NaGaSi
1.0
-2.998 -9.318 7.456
-0.099 -6.803 1.257
3.546 5.844 -1.070
Ga Si Na
2 2 2
direct
0.879 0.693 0.307
0.121 0.307 0.693
0.110 0.119 0.881
0.890 0.881 0.119
0.531 0.342 0.658
0.469 0.658 0.342
```

Computed properties:
**Total moment**: 0.000 μB/f.u.
**Formation energy without anion corrections**: 0.04 eV/atom
**Calculated total energy**: -19.29 eV per cell
**Symmetry**: C2/m